# 1
CaTiAsO5 | Alexandria | SCAN | PBEsol geometry; M_tot = 0.00 μB per cell; symmetry = P2_1 (4)
1.0
5.9059 0.0000 0.0000
0.0000 7.7848 0.0000
-0.4664 0.0000 9.1313
Ca Ti As O
4 4 4 20
direct
0.0061 0.0000 0.0576
0.4918 0.3487 0.6200
0.5082 0.8487 0.3800
0.9939 0.5000 0.9424
0.2120 0.4417 0.2744
0.3077 0.9396 0.7342
0.6923 0.4396 0.2658
0.7880 0.9417 0.7256
0.0319 0.0812 0.4272
0.4317 0.2529 0.9772
0.5683 0.7529 0.0228
0.9681 0.5812 0.5728
0.0276 0.0658 0.7993
0.0361 0.7786 0.6497
0.1306 0.9478 0.2985
0.1955 0.3024 0.0997
0.2122 0.5191 0.4940
0.2536 0.0995 0.5538
0.3166 0.8571 0.9301
0.3518 0.4146 0.8501
0.4431 0.5961 0.2376
0.4889 0.3032 0.3511
0.5111 0.8032 0.6489
0.5569 0.0961 0.7624
0.6482 0.9146 0.1499
0.6834 0.3571 0.0699
0.7464 0.5995 0.4462
0.7878 0.0191 0.5060
0.8045 0.8024 0.9003
0.8694 0.4478 0.7015
0.9639 0.2786 0.3503
0.9724 0.5658 0.2007

---

# 2
Si3AsSe | Alexandria | SCAN | PBEsol geometry; M_tot = 0.00 μB per cell; symmetry = Pm-3m (221)
1.0
4.7655 0.0000 0.0000
0.0000 4.7655 0.0000
0.0000 0.0000 4.7655
Si As Se
3 1 1
direct
0.0000 0.0000 0.5000
0.0000 0.5000 0.0000
0.5000 0.0000 0.0000
0.0000 0.0000 0.0000
0.5000 0.5000 0.5000

---

# 3
MnHg3S | Alexandria | SCAN | PBEsol geometry; M_tot = 5.11 μB per cell; symmetry = Pm-3m (221)
1.0
5.0519 0.0000 0.0000
0.0000 5.0519 0.0000
0.0000 0.0000 5.0519
Mn Hg S
1 3 1
direct
0.0000 0.0000 0.0000
0.0000 0.0000 0.5000
0.0000 0.5000 0.0000
0.5000 0.0000 0.0000
0.5000 0.5000 0.5000

---

# 4
Be2HgTe | Alexandria | SCAN | PBEsol geometry; energy above the lowest structure with this stoichiometry = 102.7 meV/atom; M_tot = 0.00 μB per cell; symmetry = Pmmm (47)
1.0
3.4857 0.0000 0.0000
0.0000 3.5892 0.0000
0.0000 0.0000 6.1409
Be Hg Te
2 1 1
direct
0.0000 0.0000 0.0000
0.0000 0.5000 0.5000
0.5000 0.0000 0.5000
0.5000 0.5000 0.0000

---

# 5
LiMgZn2 | Alexandria | SCAN | PBEsol geometry; M_tot = 0.00 μB per cell; energy of formation = -0.1499 eV per atom; symmetry = P4/mmm (123)
1.0
3.9218 0.0000 0.0000
0.0000 3.9218 0.0000
0.0000 0.0000 4.0884
Li Mg Zn
1 1 2
direct
0.0000 0.0000 0.0000
0.5000 0.5000 0.0000
0.0000 0.5000 0.5000
0.5000 0.0000 0.5000

---

# 6
Re2NiSnRu | Alexandria | SCAN | PBEsol geometry; M_tot = 3.64 μB per cell; energy of formation = 1.7169 eV per atom; symmetry = P4/mmm (123)
1.0
4.3834 0.0000 0.0000
0.0000 4.3834 0.0000
0.0000 0.0000 4.4715
Re Ni Sn Ru
2 1 1 1
direct
0.0000 0.5000 0.0000
0.5000 0.0000 0.0000
0.0000 0.0000 0.0000
0.0000 0.0000 0.5000
0.5000 0.5000 0.5000

---

Per-record uncorrected energy, eV per atom: -12.25, -12.82, -46.00, -28.03, -8.75, -44.11